Record 1
# Pu2NpZn

Pu2NpZn after structural relaxation (PBE-GGA, Alexandria).

Cell lengths 2.6846, 2.6846, 12.3401 Å; angles 83.76, 83.76, 60.00 degrees
Last column: nearest neighbours and their distance in Å.
Element x y z (fractional)
Np 0.5000 0.5000 0.5000  6 Np 2.68
Zn 0.0000 0.0000 0.0000  6 Zn 2.68
Pu 0.0839 0.0839 0.7484  6 Pu 2.68
Pu 0.9161 0.9161 0.2516  6 Pu 2.68

* total magnetic moment: 6.5 μB per cell
* energy relative to the elements: 0.538 eV/atom
* calculated volume: 76.4 Å³ per cell
* ΔE to the lowest computed polymorph: 0.359 eV/atom
* space group: No. 166
* raw total energy: -10.18 eV per atom
* theoretical density: 17.18 g/cm3

=====

Record 2
# BaCaPd2F8

BaCaPd2F8 after structural relaxation (PBE-GGA, Alexandria).

Cell lengths 6.4699, 6.4699, 7.4773 Å; angles 90.00, 90.00, 120.00 degrees
Last column: nearest neighbours and their distance in Å.
Element x y z (fractional)
Ba 0.0000 0.0000 0.5000  6 F 2.70
Ca 0.0000 0.0000 0.0000  6 F 2.26
Pd 0.3333 0.6667 0.7383  4 F 2.04-2.15
Pd 0.6667 0.3333 0.2617  4 F 2.04-2.15
F 0.1449 0.2897 0.7889  1 Pd 2.15, 1 Ca 2.26
F 0.1449 0.8551 0.7889  1 Pd 2.15, 1 Ca 2.26
F 0.7103 0.8551 0.7889  1 Pd 2.15, 1 Ca 2.26
F 0.2897 0.1449 0.2111  1 Pd 2.15, 1 Ca 2.26
F 0.6667 0.3333 0.5348  1 Pd 2.04
F 0.3333 0.6667 0.4652  1 Pd 2.04
F 0.8551 0.7103 0.2111  1 Pd 2.15, 1 Ca 2.26
F 0.8551 0.1449 0.2111  1 Pd 2.15, 1 Ca 2.26

* total magnetic moment: 4.0 μB per cell
* calculated volume: 271.1 Å³ per cell
* space group: No. 164
* uncorrected formation energy: -2.23 eV per atom
* raw total energy: -4.67 eV per atom
* theoretical density: 3.32 g/cm3

=====

Record 3
# KPm4HoS8

KPm4HoS8 after structural relaxation (PBE-GGA, Alexandria).

Cell lengths 8.4251, 8.4251, 8.3278 Å; angles 59.61, 59.61, 60.00 degrees
Last column: nearest neighbours and their distance in Å.
Element x y z (fractional)
K 0.3780 0.3780 0.8660  4 S 2.90
Pm 0.6242 0.6242 0.1275  4 S 2.70-2.74
Pm 0.0043 0.4873 0.5042  6 S 2.74-2.94
Pm 0.4873 0.0043 0.5042  6 S 2.74-2.94
Pm 0.0043 0.0043 0.5042  6 S 2.74-2.94
Ho 0.0044 0.0044 0.9869  6 S 2.66-2.88
S 0.2289 0.7997 0.7425  1 Ho 2.66, 2 Pm 2.75, 1 K 2.90
S 0.7997 0.2289 0.7425  1 Ho 2.66, 2 Pm 2.75, 1 K 2.90
S 0.2289 0.2289 0.7425  1 Ho 2.66, 2 Pm 2.75, 1 K 2.90
S 0.2350 0.2350 0.2951  3 Pm 2.74, 1 K 2.90
S 0.7614 0.2249 0.2524  3 Pm 2.74-2.94, 1 Ho 2.88
S 0.2249 0.7614 0.2524  3 Pm 2.74-2.94, 1 Ho 2.88
S 0.7614 0.7614 0.2524  3 Pm 2.74-2.94, 1 Ho 2.88
S 0.7575 0.7575 0.7274  4 Pm 2.70-2.93

* total magnetic moment: 0.0 μB per cell
* calculated volume: 415.5 Å³ per cell
* space group: No. 160
* uncorrected formation energy: -1.92 eV per atom
* raw total energy: -6.04 eV per atom
* theoretical density: 4.16 g/cm3

=====

total magnetic moment of number 1 (Pu2NpZn)? 6.5 μB per cell

=====

What is the calculated volume in the second record? 271.1 Å³ per cell